{"formula": "SiAg2Ru", "functional": "PBE-GGA", "state": "optimized geometry", "lattice": [[5.305, 0.008, 0.000], [2.691, 4.572, 0.000], [-3.998, -2.290, 2.630]], "species": ["Ag", "Ag", "Ru", "Si"], "fractional_positions": [[0.000, 0.000, 0.000], [0.500, 0.500, 0.000], [0.250, 0.750, 0.500], [0.750, 0.250, 0.500]], "total_magnetization_mub_per_atom": 0.253, "e_form_raw_ev_per_atom": 0.348}